# PBE-GGA PaI3F2, relaxed
# - ΔE_f (raw): -2.048 eV/atom
# - Volume: 40.51 Å³ per atom
# - Total DFT energy (no corrections): -120.706 eV/cell
data_PaI3F2
_chemical_formula_sum 'Pa4 I12 F8'
_cell_length_a 10.9064
_cell_length_b 9.9436
_cell_length_c 9.6941
_cell_angle_alpha 90.00
_cell_angle_beta 112.35
_cell_angle_gamma 90.00
_symmetry_space_group_name_H-M 'C 1 2/c 1'
_symmetry_Int_Tables_number 15
loop_
_symmetry_equiv_pos_as_xyz
'x,y,z'
'-x,-y,-z'
'-x,y,-z+1/2'
'x,-y,z+1/2'
'x+1/2,y+1/2,z'
'-x+1/2,-y+1/2,-z'
'-x+1/2,y+1/2,-z+1/2'
'x+1/2,-y+1/2,z+1/2'
loop_
_atom_site_label
_atom_site_type_symbol
_atom_site_fract_x
_atom_site_fract_y
_atom_site_fract_z
_atom_site_occupancy
Pa1 Pa 0.0000 0.0914 0.2500 1
I1 I 0.0000 0.3875 0.2500 1
I2 I 0.0067 0.1746 0.9373 1
F1 F 0.2003 0.0826 0.3370 1